Below is an optimized crystal structure of Pm4Sm3Y4, with properties calculated at the PBE level.

V (Å³ per atom): 34.04
Calculated total energy (eV per atom): -5.2180
Energy of formation from the pure elements (eV per atom): 0.1471
M_tot (μB per formula unit): 0.000

abc: 10.691 6.731 6.731
angles: 50.65 90.00 90.00
Positions (direct):
Pm: 0.000 0.000 0.000
Pm: 0.209 0.797 0.797
Pm: 0.500 0.922 0.922
Pm: 0.791 0.797 0.797
Sm: 0.000 0.294 0.294
Sm: 0.295 0.445 0.445
Sm: 0.705 0.445 0.445
Y: 0.000 0.593 0.593
Y: 0.298 0.140 0.140
Y: 0.500 0.652 0.652
Y: 0.702 0.140 0.140